No. 1
# YThSn, optimized geometry, DFT GGA-PBE
data_YThSn
_cell_length_a 5.325
_cell_length_b 5.325
_cell_length_c 3.667
_cell_angle_alpha 90.00
_cell_angle_beta 90.00
_cell_angle_gamma 120.00
_symmetry_space_group_name_H-M 'P 1'
_symmetry_Int_Tables_number 1
_symmetry_space_group_name_Hall 'P 1'
loop_
_atom_site_label
_atom_site_type_symbol
_atom_site_fract_x
_atom_site_fract_y
_atom_site_fract_z
Y1 Y 0.000 0.000 0.000
Th1 Th 0.333 0.667 0.470
Sn1 Sn 0.667 0.333 0.810
# - ΔE_f (meV per atom) = -199
# - relative energy among the computed polymorphs (eV/f.u.) = 1.026
# - total magnetization (μB/cell) = 0.00
# - N(E_F) (states/eV per atom) = 1.329

No. 2
# CuSb3P2, optimized geometry, DFT GGA-PBE
data_CuSb3P2
_cell_length_a 3.739
_cell_length_b 3.739
_cell_length_c 9.213
_cell_angle_alpha 90.00
_cell_angle_beta 90.00
_cell_angle_gamma 90.00
_symmetry_space_group_name_H-M 'P 1'
_symmetry_Int_Tables_number 1
_symmetry_space_group_name_Hall 'P 1'
loop_
_atom_site_label
_atom_site_type_symbol
_atom_site_fract_x
_atom_site_fract_y
_atom_site_fract_z
Cu1 Cu 0.000 0.000 0.000
Sb1 Sb 0.000 0.500 0.372
Sb2 Sb 0.500 0.000 0.628
Sb3 Sb 0.500 0.500 0.000
P1 P 0.000 0.500 0.741
P2 P 0.500 0.000 0.259
# - E_tot (eV for the cell shown) = -24.89
# - total magnetization (μB/cell) = 0.00
# - N(E_F) (states/eV per atom) = 0.435

No. 3
# Tb2DyOsC2, optimized geometry, DFT GGA-PBE
data_Tb2DyOsC2
_cell_length_a 5.591
_cell_length_b 11.050
_cell_length_c 3.733
_cell_angle_alpha 90.00
_cell_angle_beta 90.00
_cell_angle_gamma 90.00
_symmetry_space_group_name_H-M 'P 1'
_symmetry_Int_Tables_number 1
_symmetry_space_group_name_Hall 'P 1'
loop_
_atom_site_label
_atom_site_type_symbol
_atom_site_fract_x
_atom_site_fract_y
_atom_site_fract_z
Tb1 Tb 0.046 0.207 0.000
Tb2 Tb 0.454 0.707 0.500
Tb3 Tb 0.546 0.293 0.500
Tb4 Tb 0.954 0.793 0.000
Dy1 Dy 0.000 0.500 0.500
Dy2 Dy 0.500 0.000 0.000
Os1 Os 0.000 0.000 0.500
Os2 Os 0.500 0.500 0.000
C1 C 0.229 0.617 0.000
C2 C 0.271 0.117 0.500
C3 C 0.729 0.883 0.500
C4 C 0.771 0.383 0.000
# - ΔE_f (meV per atom) = -199
# - total magnetization (μB/cell) = 0.00
# - N(E_F) (states/eV per atom) = 0.665

No. 4
# KAlSi2S6, optimized geometry, DFT GGA-PBE
data_KAlSi2S6
_cell_length_a 9.152
_cell_length_b 9.152
_cell_length_c 6.622
_cell_angle_alpha 104.37
_cell_angle_beta 104.37
_cell_angle_gamma 94.58
_symmetry_space_group_name_H-M 'P 1'
_symmetry_Int_Tables_number 1
_symmetry_space_group_name_Hall 'P 1'
loop_
_atom_site_label
_atom_site_type_symbol
_atom_site_fract_x
_atom_site_fract_y
_atom_site_fract_z
K1 K 0.112 0.888 0.750
K2 K 0.888 0.112 0.250
Al1 Al 0.224 0.776 0.250
Al2 Al 0.776 0.224 0.750
Si1 Si 0.226 0.377 0.840
Si2 Si 0.377 0.226 0.340
Si3 Si 0.623 0.774 0.660
Si4 Si 0.774 0.623 0.160
S1 S 0.027 0.211 0.731
S2 S 0.178 0.605 0.925
S3 S 0.211 0.027 0.231
S4 S 0.308 0.405 0.560
S5 S 0.395 0.822 0.575
S6 S 0.405 0.308 0.060
S7 S 0.595 0.692 0.940
S8 S 0.605 0.178 0.425
S9 S 0.692 0.595 0.440
S10 S 0.789 0.973 0.769
S11 S 0.822 0.395 0.075
S12 S 0.973 0.789 0.269
# - E_tot (eV for the cell shown) = -95.84
# - total magnetization (μB/cell) = 0.00
# - N(E_F) (states/eV per atom) = 0.000

No. 5
# PaPdAu2, optimized geometry, DFT GGA-PBE
data_PaPdAu2
_cell_length_a 3.514
_cell_length_b 3.514
_cell_length_c 6.428
_cell_angle_alpha 90.00
_cell_angle_beta 90.00
_cell_angle_gamma 90.00
_symmetry_space_group_name_H-M 'P 1'
_symmetry_Int_Tables_number 1
_symmetry_space_group_name_Hall 'P 1'
loop_
_atom_site_label
_atom_site_type_symbol
_atom_site_fract_x
_atom_site_fract_y
_atom_site_fract_z
Pa1 Pa 0.000 0.000 0.000
Pd1 Pd 0.000 0.000 0.500
Au1 Au 0.500 0.500 0.278
Au2 Au 0.500 0.500 0.722
# - ΔE_f (meV per atom) = -342
# - relative energy among the computed polymorphs (eV/f.u.) = 0.532
# - total magnetization (μB/cell) = 0.54
# - N(E_F) (states/eV per atom) = 0.724

No. 6
# Tb2CuP, optimized geometry, DFT GGA-PBE
data_Tb2CuP
_cell_length_a 3.824
_cell_length_b 3.824
_cell_length_c 26.437
_cell_angle_alpha 90.00
_cell_angle_beta 90.00
_cell_angle_gamma 120.00
_symmetry_space_group_name_H-M 'P 1'
_symmetry_Int_Tables_number 1
_symmetry_space_group_name_Hall 'P 1'
loop_
_atom_site_label
_atom_site_type_symbol
_atom_site_fract_x
_atom_site_fract_y
_atom_site_fract_z
Tb1 Tb 0.000 0.000 0.106
Tb2 Tb 0.000 0.000 0.894
Tb3 Tb 0.333 0.667 0.561
Tb4 Tb 0.333 0.667 0.773
Tb5 Tb 0.667 0.333 0.227
Tb6 Tb 0.667 0.333 0.439
Cu1 Cu 0.000 0.000 0.000
Cu2 Cu 0.333 0.667 0.667
Cu3 Cu 0.667 0.333 0.333
P1 P 0.000 0.000 0.500
P2 P 0.333 0.667 0.167
P3 P 0.667 0.333 0.833
# - ΔE_f (meV per atom) = -269
# - total magnetization (μB/cell) = 0.00
# - N(E_F) (states/eV per atom) = 0.719